[1]
Cd2B3Pt9 after structural relaxation, computed with PBE.

Cell: 5.960 5.960 13.462 Å, 95.31 95.31 71.61°
Element x y z (fractional)
Cd1 0.125 0.232 0.240
Cd2 0.232 0.125 0.740
Cd3 0.768 0.875 0.260
Cd4 0.875 0.768 0.760
B1 0.000 0.500 0.000
B2 0.136 0.700 0.476
B3 0.300 0.864 0.024
B4 0.500 0.000 0.500
B5 0.700 0.136 0.976
B6 0.864 0.300 0.524
Pt1 0.062 0.154 0.942
Pt2 0.148 0.462 0.588
Pt3 0.154 0.062 0.442
Pt4 0.226 0.629 0.329
Pt5 0.283 0.535 0.937
Pt6 0.366 0.634 0.750
Pt7 0.371 0.774 0.171
Pt8 0.462 0.148 0.088
Pt9 0.465 0.717 0.563
Pt10 0.535 0.283 0.437
Pt11 0.538 0.852 0.912
Pt12 0.629 0.226 0.829
Pt13 0.634 0.366 0.250
Pt14 0.717 0.465 0.063
Pt15 0.774 0.371 0.671
Pt16 0.846 0.938 0.558
Pt17 0.852 0.538 0.412
Pt18 0.938 0.846 0.058

Calculated values
V, Å³ per cell: 451
DFT total energy, Ry per atom: -0.410
Symmetry: C2/c (15)
Magnetic moment, Bohr magnetons per cell: 0.00
ΔH_f (0 K), eV per atom: -0.133

***

[2]
CdBPt2 after structural relaxation, computed with PBE.

Cell: 3.277 3.277 6.893 Å, 103.95 103.95 59.93°
Element x y z (fractional)
Cd1 0.000 0.000 0.000
B1 0.833 0.833 0.499
Pt1 0.222 0.222 0.667
Pt2 0.445 0.445 0.336

Calculated values
V, Å³ per cell: 62
DFT total energy, Ry per atom: -0.377
Symmetry: Cm (8)
Magnetic moment, Bohr magnetons per cell: 0.00
ΔH_f (0 K), eV per atom: -0.217

***

- Look up the ΔH_f (0 K) of the first one.
  -0.133 eV per atom